No. 1
A geometry-optimized SrAc2LaOs structure, computed with PBE-GGA.

Geometry as extended XYZ:
```
5
Lattice="5.701 0.000 0.000 0.000 6.008 0.000 0.000 0.000 6.008" Properties=species:S:1:pos:R:3 pbc="T T T"
Sr 2.851 3.004 3.004
Ac 0.000 0.000 3.004
Ac 0.000 3.004 0.000
La 2.851 0.000 0.000
Os 0.000 0.000 0.000
```

Output
- crystal system = tetragonal
- DOS(E_F) (states/eV/f.u.) = 2.583
- size of the total moment (μB per atom) = 0.0000
- energy of formation (meV per atom) = -49
- space-group type = P4/mmm (123)

***

No. 2
A geometry-optimized AcLa2TlOs structure, computed with PBE-GGA.

Geometry as extended XYZ:
```
5
Lattice="5.532 0.000 0.000 0.000 5.532 0.000 0.000 0.000 5.880" Properties=species:S:1:pos:R:3 pbc="T T T"
Ac 0.000 5.532 2.929
La 0.000 2.766 5.797
La 2.766 5.532 5.797
Tl 2.766 2.766 3.060
Os 0.000 0.000 0.057
```

Output
- crystal system = tetragonal
- DOS(E_F) (states/eV/f.u.) = 4.733
- size of the total moment (μB per atom) = 0.0000
- energy of formation (meV per atom) = -153
- space-group type = P4mm (99)

***

No. 3
A geometry-optimized Ac5La3P8 structure, computed with PBE-GGA.

Geometry as extended XYZ:
```
16
Lattice="-7.387 4.490 1.513 -7.191 -1.653 -4.751 -6.882 -3.993 3.700" Properties=species:S:1:pos:R:3 pbc="T T T"
Ac -3.693 2.245 0.757
Ac -7.289 1.419 -1.619
Ac 0.000 0.000 0.000
Ac -3.595 -0.826 -2.376
Ac -10.730 -0.578 0.231
La -7.134 0.248 2.606
La -3.441 -1.996 1.850
La -7.036 -2.823 -0.526
P -8.761 -2.259 1.941
P -12.403 -3.096 -0.466
P -12.503 0.015 2.707
P -16.076 -0.820 0.301
P -12.699 1.103 -1.479
P -9.056 1.941 0.928
P -8.957 -1.171 -2.246
P -5.384 -0.336 0.161
```

Output
- crystal system = trigonal
- DOS(E_F) (states/eV/f.u.) = 2.670
- size of the total moment (μB per atom) = 0.0000
- energy of formation (meV per atom) = -1499
- space-group type = R-3m (166)

***

No. 4
A geometry-optimized Ac2La3P4 structure, computed with PBE-GGA.

Geometry as extended XYZ:
```
9
Lattice="4.160 0.000 1.023 1.836 7.045 1.502 -0.178 0.648 9.689" Properties=species:S:1:pos:R:3 pbc="T T T"
Ac 2.742 1.733 6.787
Ac 3.076 5.960 5.428
La 0.000 0.000 0.000
La 1.561 2.945 2.620
La 4.257 4.748 9.595
P 3.462 0.935 3.861
P 2.356 6.758 8.354
P 2.048 2.716 9.606
P 3.770 4.977 2.609
```

Output
- crystal system = monoclinic
- DOS(E_F) (states/eV/f.u.) = 5.325
- size of the total moment (μB per atom) = 0.0583
- energy of formation (meV per atom) = -1364
- space-group type = C2/m (12)

***

No. 5
A geometry-optimized Ac3LaP structure, computed with PBE-GGA.

Geometry as extended XYZ:
```
5
Lattice="-2.148 -4.733 2.907 5.233 -0.680 2.760 -1.861 3.550 4.404" Properties=species:S:1:pos:R:3 pbc="T T T"
P 0.000 0.000 0.000
Ac 2.617 -0.340 1.380
Ac -0.931 1.775 2.202
Ac -1.074 -2.366 1.454
La 0.612 -0.931 5.036
```

Output
- crystal system = cubic
- DOS(E_F) (states/eV/f.u.) = 8.723
- size of the total moment (μB per atom) = 0.0270
- energy of formation (meV per atom) = -382
- space-group type = Pm-3m (221)

***

No. 6
A geometry-optimized Ac2LaP structure, computed with PBE-GGA.

Geometry as extended XYZ:
```
4
Lattice="-0.040 -0.815 4.067 0.724 -3.855 1.350 10.349 0.524 2.321" Properties=species:S:1:pos:R:3 pbc="T T T"
P 0.000 0.000 0.000
Ac 2.049 -1.182 1.899
Ac 8.984 -2.964 5.840
La 5.517 -2.073 3.870
```

Output
- crystal system = trigonal
- DOS(E_F) (states/eV/f.u.) = 5.871
- size of the total moment (μB per atom) = 0.0002
- energy of formation (meV per atom) = -569
- space-group type = R-3m (166)